# LiZnPO4, optimized geometry, DFT GGA-PBEsol
# E_tot = -6.487 eV/atom
data_LiZnPO4
_symmetry_space_group_name_H-M 'P n a 21'
_symmetry_Int_Tables_number 33
_cell_length_a 10.012
_cell_length_b 4.966
_cell_length_c 6.666
_cell_angle_alpha 90.00
_cell_angle_beta 90.00
_cell_angle_gamma 90.00
loop_
_symmetry_equiv_pos_as_xyz
'x,y,z'
'-x,-y,z+1/2'
'-x+1/2,y+1/2,z+1/2'
'x+1/2,-y+1/2,z'
loop_
_atom_site_label
_atom_site_type_symbol
_atom_site_fract_x
_atom_site_fract_y
_atom_site_fract_z
Li1 Li 0.154 0.185 0.000
Zn1 Zn 0.155 0.186 0.501
P1 P 0.094 0.684 0.750
O1 O 0.056 0.241 0.252
O2 O 0.115 0.375 0.749
O3 O 0.160 0.800 0.558
O4 O 0.160 0.801 0.941


# YTlMo2, optimized geometry, DFT GGA-PBEsol
# ΔH_f (0 K) = 0.38 eV per atom
data_YTlMo2
_symmetry_space_group_name_H-M 'F -4 3 m'
_symmetry_Int_Tables_number 216
_symmetry_space_group_name_Hall 'F -4 2 3'
_cell_length_a 6.733
_cell_length_b 6.733
_cell_length_c 6.733
_cell_angle_alpha 90.00
_cell_angle_beta 90.00
_cell_angle_gamma 90.00
loop_
_atom_site_label
_atom_site_type_symbol
_atom_site_fract_x
_atom_site_fract_y
_atom_site_fract_z
Y1 Y 0.000 0.000 0.000
Tl1 Tl 0.250 0.250 0.250
Mo1 Mo 0.000 0.000 0.500
Mo2 Mo 0.250 0.250 0.750


# Ag3SbS3, optimized geometry, DFT GGA-PBEsol
# E_tot = -4.072 eV/atom
data_Ag3SbS3
_symmetry_space_group_name_H-M 'R 3 c'
_symmetry_Int_Tables_number 161
_symmetry_space_group_name_Hall 'R 3 -2"c'
_cell_length_a 10.6069
_cell_length_b 10.6069
_cell_length_c 9.0871
_cell_angle_alpha 90.00
_cell_angle_beta 90.00
_cell_angle_gamma 120.00
loop_
_atom_site_label
_atom_site_type_symbol
_atom_site_fract_x
_atom_site_fract_y
_atom_site_fract_z
Ag1 Ag 0.0860 0.3862 0.0000
Sb1 Sb 0.0000 0.0000 0.0099
S1 S 0.1018 0.2291 0.6586


# TaBe3, optimized geometry, DFT GGA-PBEsol
# ΔH_f (0 K) = -0.12 eV per atom
data_TaBe3
_symmetry_space_group_name_H-M 'P 63/m m c'
_symmetry_Int_Tables_number 194
_symmetry_space_group_name_Hall '-P 6c 2c'
_cell_length_a 5.1348
_cell_length_b 5.1348
_cell_length_c 3.6099
_cell_angle_alpha 90.00
_cell_angle_beta 90.00
_cell_angle_gamma 120.00
loop_
_atom_site_label
_atom_site_type_symbol
_atom_site_fract_x
_atom_site_fract_y
_atom_site_fract_z
Ta1 Ta 0.3333 0.6667 0.2500
Be1 Be 0.1419 0.2839 0.7500


# NaSrP, optimized geometry, DFT GGA-PBEsol
# ΔH_f (0 K) = -0.80 eV per atom
data_NaSrP
_symmetry_space_group_name_H-M 'P -6 2 m'
_symmetry_Int_Tables_number 189
_symmetry_space_group_name_Hall 'P -6 -2'
_cell_length_a 7.6148
_cell_length_b 7.6148
_cell_length_c 4.4394
_cell_angle_alpha 90.00
_cell_angle_beta 90.00
_cell_angle_gamma 120.00
loop_
_atom_site_label
_atom_site_type_symbol
_atom_site_fract_x
_atom_site_fract_y
_atom_site_fract_z
Na1 Na 0.0000 0.2424 0.0000
Sr1 Sr 0.0000 0.5856 0.5000
P1 P 0.0000 0.0000 0.5000
P2 P 0.3333 0.6667 0.0000


# KCu2P, optimized geometry, DFT GGA-PBEsol
# ΔH_f (0 K) = -0.13 eV per atom
data_KCu2P
_symmetry_space_group_name_H-M 'I 41/a m d'
_symmetry_Int_Tables_number 141
_cell_length_a 5.115
_cell_length_b 5.115
_cell_length_c 14.116
_cell_angle_alpha 90.00
_cell_angle_beta 90.00
_cell_angle_gamma 90.00
loop_
_symmetry_equiv_pos_as_xyz
'x,y,z'
'-x,-y,-z'
'-y+1/4,x+3/4,z+1/4'
'y+1/4,-x+3/4,-z+1/4'
'-x+1/2,-y,z+1/2'
'x+1/2,y,-z+1/2'
'y+1/4,-x+1/4,z+3/4'
'-y+1/4,x+1/4,-z+3/4'
'x,-y,-z'
'-x,y,z'
'-y+1/4,-x+1/4,-z+3/4'
'y+1/4,x+1/4,z+3/4'
'-x+1/2,y,-z+1/2'
'x+1/2,-y,z+1/2'
'y+1/4,x+3/4,-z+1/4'
'-y+1/4,-x+3/4,z+1/4'
'x+1/2,y+1/2,z+1/2'
'-x+1/2,-y+1/2,-z+1/2'
'-y+3/4,x+1/4,z+3/4'
'y+3/4,-x+1/4,-z+3/4'
'-x,-y+1/2,z'
'x,y+1/2,-z'
'y+3/4,-x+3/4,z+1/4'
'-y+3/4,x+3/4,-z+1/4'
'x+1/2,-y+1/2,-z+1/2'
'-x+1/2,y+1/2,z+1/2'
'-y+3/4,-x+3/4,-z+1/4'
'y+3/4,x+3/4,z+1/4'
'-x,y+1/2,-z'
'x,-y+1/2,z'
'y+3/4,x+1/4,-z+3/4'
'-y+3/4,-x+1/4,z+3/4'
loop_
_atom_site_label
_atom_site_type_symbol
_atom_site_fract_x
_atom_site_fract_y
_atom_site_fract_z
K1 K 0.000 0.250 0.375
Cu1 Cu 0.000 0.000 0.000
P1 P 0.000 0.250 0.875


# AgPtW2, optimized geometry, DFT GGA-PBEsol
# ΔH_f (0 K) = 0.21 eV per atom
data_AgPtW2
_symmetry_space_group_name_H-M 'R 3 m'
_symmetry_Int_Tables_number 160
_symmetry_space_group_name_Hall 'R 3 -2"'
_cell_length_a 2.7737
_cell_length_b 2.7737
_cell_length_c 28.2766
_cell_angle_alpha 90.00
_cell_angle_beta 90.00
_cell_angle_gamma 120.00
loop_
_atom_site_label
_atom_site_type_symbol
_atom_site_fract_x
_atom_site_fract_y
_atom_site_fract_z
Ag1 Ag 0.0000 0.0000 0.0000
Pt1 Pt 0.0000 0.0000 0.7516
W1 W 0.0000 0.0000 0.2478
W2 W 0.0000 0.0000 0.4961


# InHgRh2, optimized geometry, DFT GGA-PBEsol
# ΔH_f (0 K) = -0.19 eV per atom
data_InHgRh2
_symmetry_space_group_name_H-M 'P 4/m m m'
_symmetry_Int_Tables_number 123
_symmetry_space_group_name_Hall '-P 4 2'
_cell_length_a 3.181
_cell_length_b 3.181
_cell_length_c 6.430
_cell_angle_alpha 90.00
_cell_angle_beta 90.00
_cell_angle_gamma 90.00
loop_
_atom_site_label
_atom_site_type_symbol
_atom_site_fract_x
_atom_site_fract_y
_atom_site_fract_z
In1 In 0.000 0.000 0.000
Hg1 Hg 0.000 0.000 0.500
Rh1 Rh 0.500 0.500 0.240


# SrMnTeO6, optimized geometry, DFT GGA-PBEsol
# E_tot = -6.760 eV/atom
data_SrMnTeO6
_symmetry_space_group_name_H-M 'P -6'
_symmetry_Int_Tables_number 174
_cell_length_a 5.0604
_cell_length_b 5.0604
_cell_length_c 5.4669
_cell_angle_alpha 90.00
_cell_angle_beta 90.00
_cell_angle_gamma 120.00
loop_
_symmetry_equiv_pos_as_xyz
'x,y,z'
'-x+y,-x,-z'
'-y,x-y,z'
'x,y,-z'
'-x+y,-x,z'
'-y,x-y,-z'
loop_
_atom_site_label
_atom_site_type_symbol
_atom_site_fract_x
_atom_site_fract_y
_atom_site_fract_z
Sr1 Sr 0.0000 0.0000 0.0000
Mn1 Mn 0.3333 0.6667 0.5000
Te1 Te 0.6667 0.3333 0.5000
O1 O 0.0059 0.5829 0.2796


# Rb2HgSbI6, optimized geometry, DFT GGA-PBEsol
# E_tot = -2.511 eV/atom
data_Rb2HgSbI6
_symmetry_space_group_name_H-M 'F m -3 m'
_symmetry_Int_Tables_number 225
_symmetry_space_group_name_Hall '-F 4 2 3'
_cell_length_a 12.017
_cell_length_b 12.017
_cell_length_c 12.017
_cell_angle_alpha 90.00
_cell_angle_beta 90.00
_cell_angle_gamma 90.00
loop_
_atom_site_label
_atom_site_type_symbol
_atom_site_fract_x
_atom_site_fract_y
_atom_site_fract_z
Rb1 Rb 0.250 0.250 0.250
Hg1 Hg 0.000 0.000 0.000
Sb1 Sb 0.000 0.000 0.500
I1 I 0.000 0.000 0.252


# Sc2BeRh, optimized geometry, DFT GGA-PBEsol
# ΔH_f (0 K) = -0.49 eV per atom
data_Sc2BeRh
_symmetry_space_group_name_H-M 'P 4/m m m'
_symmetry_Int_Tables_number 123
_symmetry_space_group_name_Hall '-P 4 2'
_cell_length_a 4.420
_cell_length_b 4.420
_cell_length_c 3.264
_cell_angle_alpha 90.00
_cell_angle_beta 90.00
_cell_angle_gamma 90.00
loop_
_atom_site_label
_atom_site_type_symbol
_atom_site_fract_x
_atom_site_fract_y
_atom_site_fract_z
Sc1 Sc 0.000 0.500 0.000
Be1 Be 0.000 0.000 0.500
Rh1 Rh 0.500 0.500 0.500


# Ca3CoPd, optimized geometry, DFT GGA-PBEsol
# ΔH_f (0 K) = 0.26 eV per atom
data_Ca3CoPd
_symmetry_space_group_name_H-M 'P m -3 m'
_symmetry_Int_Tables_number 221
_symmetry_space_group_name_Hall '-P 4 2 3'
_cell_length_a 5.060
_cell_length_b 5.060
_cell_length_c 5.060
_cell_angle_alpha 90.00
_cell_angle_beta 90.00
_cell_angle_gamma 90.00
loop_
_atom_site_label
_atom_site_type_symbol
_atom_site_fract_x
_atom_site_fract_y
_atom_site_fract_z
Ca1 Ca 0.000 0.000 0.500
Co1 Co 0.000 0.000 0.000
Pd1 Pd 0.500 0.500 0.500


Number 1: magnetization 0.00 μB/cell. Number 2: magnetization 0.00 μB/cell. Number 3: magnetization 0.00 μB/cell. Number 4: magnetization 0.00 μB/cell. Number 5: magnetization 0.00 μB/cell. Number 6: magnetization 0.00 μB/cell. Number 7: magnetization 0.00 μB/cell. Number 8: magnetization 0.00 μB/cell. Number 9: magnetization 3.00 μB/cell. Number 10: magnetization 0.00 μB/cell. Number 11: magnetization 0.00 μB/cell. Number 12: magnetization 0.00 μB/cell.